a | Ta2BrCl after structural relaxation. Source: Alexandria, functional GGA-PBE.

Properties
magnetization: 0.0 Bohr magnetons per cell

abc: 4.2397 4.2397 3.9900
angles: 90.00 90.00 90.00
Space group P4/mmm (No. 123)
Unique sites:
Ta (0.0000, 0.5000, 0.0000)
Br (0.0000, 0.0000, 0.5000)
Cl (0.5000, 0.5000, 0.5000)

---

b | Ta2BrCl after structural relaxation. Source: Alexandria, functional GGA-PBE.

Properties
magnetization: 0.0 Bohr magnetons per cell

abc: 4.2351 4.2351 7.9831
angles: 90.00 90.00 90.00
Space group I4/mmm (No. 139)
Unique sites:
Ta (0.0000, 0.5000, 0.2500)
Br (0.0000, 0.0000, 0.0000)
Cl (0.0000, 0.0000, 0.5000)

---

c | Ta2BrCl after structural relaxation. Source: Alexandria, functional GGA-PBE.

Properties
magnetization: 0.0 Bohr magnetons per cell

abc: 4.2706 4.2706 8.3577
angles: 90.00 90.00 90.00
Space group I-4m2 (No. 119)
Unique sites:
Ta (0.0000, 0.0000, 0.0000)
Ta (0.0000, 0.5000, 0.2500)
Br (0.0000, 0.5000, 0.7500)
Cl (0.0000, 0.0000, 0.5000)

---

Most stable: c. Least stable: a.